DFT (PBE) results for an optimized crystal structure of SrGa3Ge3.

Lattice parameters (Å, degrees): 7.0864 7.0864 7.0864 90.00 90.00 90.00
Last column: nearest neighbours and their distance in Å.
Sites, in units of the cell vectors:
Sr1 0.5000 0.5000 0.5000  12 Ge 3.96, 12 Ga 3.96
Sr2 0.0000 0.0000 0.0000  12 Ge 3.96, 12 Ga 3.96
Ge1 0.2500 0.0000 0.5000  4 Ga 2.51
Ge2 0.0000 0.5000 0.2500  4 Ga 2.51
Ge3 0.5000 0.7500 0.0000  4 Ga 2.51
Ge4 0.7500 0.0000 0.5000  4 Ga 2.51
Ge5 0.0000 0.5000 0.7500  4 Ga 2.51
Ge6 0.5000 0.2500 0.0000  4 Ga 2.51
Ga1 0.0000 0.2500 0.5000  4 Ge 2.51
Ga2 0.0000 0.7500 0.5000  4 Ge 2.51
Ga3 0.5000 0.0000 0.7500  4 Ge 2.51
Ga4 0.7500 0.5000 0.0000  4 Ge 2.51
Ga5 0.5000 0.0000 0.2500  4 Ge 2.51
Ga6 0.2500 0.5000 0.0000  4 Ge 2.51

Results
- Electronic total energy: -51.02 eV/cell
- M_tot: 0.00 Bohr magnetons per cell
- Space-group type: Pm-3n
- Formation energy: -0.13 eV/atom